[1]
Compound: ErIn7
Source: the Alexandria database
Functional: PBE
Structure: relaxed Values from VASP.

Structure (Quantum ESPRESSO input):
```
&SYSTEM
  ibrav = 0, nat = 8, ntyp = 2
/
ATOMIC_SPECIES
Er 167.26 Er.upf
In 114.82 In.upf
ATOMIC_POSITIONS angstrom
Er 0.000 0.000 0.000
In 2.354 2.354 0.000
In 2.354 0.000 2.354
In 4.708 2.354 2.354
In 0.000 2.354 2.354
In 2.354 4.708 2.354
In 2.354 2.354 4.708
In 4.708 4.708 4.708
CELL_PARAMETERS angstrom
0.000 4.708 4.708
4.708 0.000 4.708
4.708 4.708 0.000
```

Properties
ΔE_f ... -0.149 eV/atom
Total moment ... 0.000 μB/f.u.
Symmetry ... Fm-3m

=====

[2]
Compound: Rb2BaSbF6
Source: the Alexandria database
Functional: PBE
Structure: relaxed Values from VASP.

Structure (Quantum ESPRESSO input):
```
&SYSTEM
  ibrav = 0, nat = 10, ntyp = 4
/
ATOMIC_SPECIES
Rb 85.47 Rb.upf
Ba 137.33 Ba.upf
Sb 121.76 Sb.upf
F 19.00 F.upf
ATOMIC_POSITIONS angstrom
Rb 3.355 0.000 2.886
Rb 0.000 3.355 2.886
Ba 0.000 0.000 0.000
Sb 0.000 0.000 5.773
F 0.000 0.000 2.535
F 1.806 1.806 0.000
F 1.549 -1.549 5.773
F -1.549 1.549 5.773
F 1.549 1.549 5.773
F 0.000 0.000 9.010
CELL_PARAMETERS angstrom
-3.355 3.355 5.773
3.355 -3.355 5.773
3.355 3.355 -5.773
```

Properties
Total moment ... 1.000 μB/f.u.
Formation energy (no corrections) ... -2.6596 eV/atom
Symmetry ... I4/mmm

=====

[3]
Compound: ScFe2CoRe
Source: the Alexandria database
Functional: PBE
Structure: relaxed Values from VASP.

Structure (Quantum ESPRESSO input):
```
&SYSTEM
  ibrav = 0, nat = 5, ntyp = 4
/
ATOMIC_SPECIES
Sc 44.96 Sc.upf
Fe 55.84 Fe.upf
Co 58.93 Co.upf
Re 186.21 Re.upf
ATOMIC_POSITIONS angstrom
Sc 0.000 0.000 0.000
Fe 0.000 2.069 2.224
Fe 2.069 0.000 2.224
Co 0.000 0.000 2.224
Re 2.069 2.069 0.000
CELL_PARAMETERS angstrom
4.138 0.000 0.000
0.000 4.138 0.000
0.000 0.000 4.448
```

Properties
ΔE_f ... 1.233 eV/atom
Total moment ... 0.000 μB/f.u.
Symmetry ... P4/mmm

=====

[4]
Compound: Tb2Ho12Th5
Source: the Alexandria database
Functional: PBE
Structure: relaxed Values from VASP.

Structure (Quantum ESPRESSO input):
```
&SYSTEM
  ibrav = 0, nat = 19, ntyp = 3
/
ATOMIC_SPECIES
Tb 158.93 Tb.upf
Ho 164.93 Ho.upf
Th 232.04 Th.upf
ATOMIC_POSITIONS angstrom
Tb 9.302 1.994 0.000
Tb 9.302 -1.994 0.000
Ho -1.225 0.000 3.047
Ho 4.268 1.748 4.525
Ho 5.830 1.729 1.285
Ho 8.772 1.729 8.089
Ho 10.335 1.748 4.849
Ho 5.714 0.000 7.138
Ho 8.888 0.000 2.236
Ho 4.268 -1.748 4.525
Ho 5.830 -1.729 1.285
Ho 8.772 -1.729 8.089
Ho 10.335 -1.748 4.849
Ho 15.828 0.000 6.327
Th 2.487 0.000 1.967
Th 2.546 0.000 7.689
Th 7.301 0.000 4.687
Th 12.056 0.000 1.686
Th 12.116 0.000 7.407
CELL_PARAMETERS angstrom
9.302 -3.511 0.000
9.302 3.511 0.000
-4.002 0.000 9.374
```

Properties
ΔE_f ... 0.216 eV/atom
Energy above the most stable polymorph in this dataset ... 61.8 meV per atom
Total moment ... 0.000 μB/f.u.
Symmetry ... C2/m

=====

[5]
Compound: ScAgPd
Source: the Alexandria database
Functional: PBE
Structure: relaxed Values from VASP.

Structure (Quantum ESPRESSO input):
```
&SYSTEM
  ibrav = 0, nat = 3, ntyp = 3
/
ATOMIC_SPECIES
Sc 44.96 Sc.upf
Ag 107.87 Ag.upf
Pd 106.42 Pd.upf
ATOMIC_POSITIONS angstrom
Sc 0.000 0.000 0.000
Ag 0.000 0.000 6.090
Pd 0.000 0.000 3.162
CELL_PARAMETERS angstrom
-1.735 1.735 4.502
1.735 -1.735 4.502
1.735 1.735 -4.502
```

Properties
ΔE_f ... -0.578 eV/atom
Energy above the most stable polymorph in this dataset ... 18.6 meV per atom
Total moment ... 0.000 μB/f.u.
Symmetry ... I4mm

=====

[6]
Compound: ScCoRe2B
Source: the Alexandria database
Functional: PBE
Structure: relaxed Values from VASP.

Structure (Quantum ESPRESSO input):
```
&SYSTEM
  ibrav = 0, nat = 5, ntyp = 4
/
ATOMIC_SPECIES
Sc 44.96 Sc.upf
Co 58.93 Co.upf
Re 186.21 Re.upf
B 10.81 B.upf
ATOMIC_POSITIONS angstrom
Sc 0.000 0.000 0.000
Co 2.319 2.319 2.010
Re 0.000 2.319 0.000
Re 2.319 0.000 0.000
B 0.000 0.000 2.010
CELL_PARAMETERS angstrom
4.637 0.000 0.000
0.000 4.637 0.000
0.000 0.000 4.019
```

Properties
ΔE_f ... 2.660 eV/atom
Total moment ... 2.136 μB/f.u.
Symmetry ... P4/mmm

=====

[7]
Compound: Ho2Cd2Pd7
Source: the Alexandria database
Functional: PBE
Structure: relaxed Values from VASP.

Structure (Quantum ESPRESSO input):
```
&SYSTEM
  ibrav = 0, nat = 11, ntyp = 3
/
ATOMIC_SPECIES
Ho 164.93 Ho.upf
Cd 112.41 Cd.upf
Pd 106.42 Pd.upf
ATOMIC_POSITIONS angstrom
Ho 3.598 2.733 0.000
Ho 3.598 -2.733 0.000
Cd 2.272 0.000 3.523
Cd 4.925 0.000 3.523
Pd 0.000 0.000 2.065
Pd 0.000 0.000 4.982
Pd 1.799 2.264 2.058
Pd 1.799 2.264 4.989
Pd 1.799 -2.264 2.058
Pd 1.799 -2.264 4.989
Pd 3.598 0.000 0.000
CELL_PARAMETERS angstrom
3.598 -4.528 0.000
3.598 4.528 0.000
0.000 0.000 7.047
```

Properties
ΔE_f ... -0.243 eV/atom
Total moment ... 0.000 μB/f.u.
Symmetry ... Cmmm

=====

[8]
Compound: HoURe2
Source: the Alexandria database
Functional: PBE
Structure: relaxed Values from VASP.

Structure (Quantum ESPRESSO input):
```
&SYSTEM
  ibrav = 0, nat = 4, ntyp = 3
/
ATOMIC_SPECIES
Ho 164.93 Ho.upf
U 238.03 U.upf
Re 186.21 Re.upf
ATOMIC_POSITIONS angstrom
Ho 0.000 0.000 0.000
U 0.000 0.000 12.468
Re 0.000 0.000 5.959
Re 0.000 0.000 18.978
CELL_PARAMETERS angstrom
1.689 0.975 8.312
-1.689 0.975 8.312
0.000 -1.951 8.312
```

Properties
ΔE_f ... 0.399 eV/atom
Total moment ... 0.000 μB/f.u.
Symmetry ... R-3m

=====

[9]
Compound: YRePt3
Source: the Alexandria database
Functional: PBE
Structure: relaxed Values from VASP.

Structure (Quantum ESPRESSO input):
```
&SYSTEM
  ibrav = 0, nat = 5, ntyp = 3
/
ATOMIC_SPECIES
Y 88.91 Y.upf
Re 186.21 Re.upf
Pt 195.08 Pt.upf
ATOMIC_POSITIONS angstrom
Y 0.000 0.000 0.000
Re 2.498 2.498 2.498
Pt 0.000 0.000 2.498
Pt 0.000 2.498 0.000
Pt 2.498 0.000 0.000
CELL_PARAMETERS angstrom
4.997 0.000 0.000
0.000 4.997 0.000
0.000 0.000 4.997
```

Properties
ΔE_f ... 1.678 eV/atom
Energy above the most stable polymorph in this dataset ... 1434.6 meV per atom
Total moment ... 3.891 μB/f.u.
Symmetry ... Pm-3m

=====

[10]
Compound: Tb3Dy2Hg6
Source: the Alexandria database
Functional: PBE
Structure: relaxed Values from VASP.

Structure (Quantum ESPRESSO input):
```
&SYSTEM
  ibrav = 0, nat = 11, ntyp = 3
/
ATOMIC_SPECIES
Tb 158.93 Tb.upf
Dy 162.50 Dy.upf
Hg 200.59 Hg.upf
ATOMIC_POSITIONS angstrom
Tb 0.000 0.000 0.000
Tb 0.000 0.000 3.699
Tb 0.000 0.000 22.898
Dy 0.000 0.000 9.879
Dy 0.000 0.000 16.718
Hg 2.544 0.000 1.765
Hg 0.000 0.000 6.805
Hg 2.544 0.000 11.533
Hg 0.000 2.544 1.765
Hg 0.000 0.000 19.792
Hg 0.000 2.544 11.533
CELL_PARAMETERS angstrom
-2.544 2.544 13.299
2.544 -2.544 13.299
2.544 2.544 -13.299
```

Properties
ΔE_f ... -0.105 eV/atom
Total moment ... 0.001 μB/f.u.
Symmetry ... I4/mmm

=====

[11]
Compound: Tm2ZrAl
Source: the Alexandria database
Functional: PBE
Structure: relaxed Values from VASP.

Structure (Quantum ESPRESSO input):
```
&SYSTEM
  ibrav = 0, nat = 4, ntyp = 3
/
ATOMIC_SPECIES
Tm 168.93 Tm.upf
Zr 91.22 Zr.upf
Al 26.98 Al.upf
ATOMIC_POSITIONS angstrom
Tm 0.000 2.274 0.000
Tm 2.274 0.000 0.000
Zr 0.000 0.000 2.300
Al 2.274 2.274 2.300
CELL_PARAMETERS angstrom
4.548 0.000 0.000
0.000 4.548 0.000
0.000 0.000 4.601
```

Properties
ΔE_f ... -0.179 eV/atom
Energy above the most stable polymorph in this dataset ... 0.0 meV per atom
Total moment ... 0.000 μB/f.u.
Symmetry ... P4/mmm

=====

[12]
Compound: ScBeP
Source: the Alexandria database
Functional: PBE
Structure: relaxed Values from VASP.

Structure (Quantum ESPRESSO input):
```
&SYSTEM
  ibrav = 0, nat = 3, ntyp = 3
/
ATOMIC_SPECIES
Sc 44.96 Sc.upf
Be 9.01 Be.upf
P 30.97 P.upf
ATOMIC_POSITIONS angstrom
Sc 0.000 0.000 0.000
Be 0.000 2.090 1.822
P 1.810 1.045 1.822
CELL_PARAMETERS angstrom
3.619 0.000 0.000
-1.810 3.134 0.000
0.000 0.000 3.644
```

Properties
ΔE_f ... -0.963 eV/atom
Energy above the most stable polymorph in this dataset ... 0.0 meV per atom
Total moment ... 0.000 μB/f.u.
Symmetry ... P-6m2